Crystalline Sr8MnFe7O24 at its relaxed geometry. Source: Alexandria via LeMat-Bulk, functional PBE+U.

```
data_Sr8MnFe7O24
_chemical_formula_sum 'Sr8 Mn1 Fe7 O24'
_cell_length_a 7.8271
_cell_length_b 7.8271
_cell_length_c 7.8271
_cell_angle_alpha 90.00
_cell_angle_beta 90.00
_cell_angle_gamma 90.00
_symmetry_space_group_name_H-M 'P 1'
_symmetry_Int_Tables_number 1
_symmetry_space_group_name_Hall 'P 1'
loop_
_atom_site_label
_atom_site_type_symbol
_atom_site_fract_x
_atom_site_fract_y
_atom_site_fract_z
Sr1 Sr 0.7504 0.7504 0.7504
Fe1 Fe 0.5000 0.0000 0.5000
O1 O 0.2499 0.5000 0.5000
O2 O 0.0000 0.2477 0.0000
Sr2 Sr 0.2496 0.2496 0.7504
O3 O 0.2510 0.5000 0.0000
O4 O 0.2510 0.0000 0.5000
Fe2 Fe 0.0000 0.0000 0.5000
Sr3 Sr 0.7504 0.7504 0.2496
O5 O 0.5000 0.2510 0.0000
Sr4 Sr 0.2496 0.7504 0.2496
O6 O 0.7490 0.5000 0.0000
Sr5 Sr 0.7504 0.2496 0.7504
O7 O 0.5000 0.2499 0.5000
O8 O 0.0000 0.5000 0.2510
O9 O 0.2477 0.0000 0.0000
O10 O 0.5000 0.7501 0.5000
Fe3 Fe 0.5000 0.5000 0.5000
O11 O 0.5000 0.5000 0.7501
Mn1 Mn 0.0000 0.0000 0.0000
O12 O 0.5000 0.0000 0.2510
O13 O 0.5000 0.7490 0.0000
Fe4 Fe 0.0000 0.5000 0.5000
O14 O 0.5000 0.0000 0.7490
Fe5 Fe 0.5000 0.5000 0.0000
O15 O 0.5000 0.5000 0.2499
O16 O 0.0000 0.2510 0.5000
O17 O 0.7501 0.5000 0.5000
O18 O 0.0000 0.0000 0.7523
Fe6 Fe 0.0000 0.5000 0.0000
O19 O 0.0000 0.0000 0.2477
O20 O 0.0000 0.7490 0.5000
Sr6 Sr 0.2496 0.2496 0.2496
Sr7 Sr 0.2496 0.7504 0.7504
Sr8 Sr 0.7504 0.2496 0.2496
Fe7 Fe 0.5000 0.0000 0.0000
O21 O 0.7490 0.0000 0.5000
O22 O 0.0000 0.5000 0.7490
O23 O 0.7523 0.0000 0.0000
O24 O 0.0000 0.7523 0.0000
```

Output
Total energy: -6.421 eV/atom
M_tot: 33.72 μB/cell
ρ: 5.30 g cm⁻³